A relaxed structure of LiYH. Source: the Alexandria database, functional PBE.

The total magnetization is 0.000 Bohr magnetons per cell. As for the excess energy over the best structure of this formula in the dataset: 0 meV/atom.

The space group is C2/m (No. 12) and the conventional cell measures 6.549, 3.687 and 9.372 Å, with angles of 90.00, 104.51 and 90.00 degrees. Symmetry generates all atoms from Li at (0.194, 0.000, 0.081), Y at (0.109, 0.500, 0.350) and H at (0.202, 0.500, 0.597).